# 1
This record from OQMD via LeMat-Bulk describes a geometry-optimized GaCoAs2 structure. The functional is GGA-PBE.

Final energy (eV for the cell shown): -17.81
Magnetic moment (μB/f.u.): 0.52
SG: F-43m, No. 216

Cell lengths 4.477, 4.477, 4.477 Å; angles 60.00, 60.00, 60.00 degrees
Sites, in units of the cell vectors:
Ga 0.000 0.000 0.000
Co 0.250 0.250 0.250
As 0.500 0.500 0.500
As 0.750 0.750 0.750


# 2
This record from OQMD via LeMat-Bulk describes a geometry-optimized NaGaCoAs structure. The functional is GGA-PBE.

Final energy (eV for the cell shown): -15.64
Magnetic moment (μB/f.u.): 0.02
Distance to the lowest polymorph of the same formula (meV/atom): 0
SG: F-43m, No. 216

Cell lengths 4.423, 4.423, 4.423 Å; angles 60.00, 60.00, 60.00 degrees
Sites, in units of the cell vectors:
Na 0.000 0.000 0.000
Ga 0.750 0.750 0.750
Co 0.500 0.500 0.500
As 0.250 0.250 0.250


# 3
This record from OQMD via LeMat-Bulk describes a geometry-optimized NaGaCoAs structure. The functional is GGA-PBE.

Final energy (eV for the cell shown): -14.64
Magnetic moment (μB/f.u.): 1.57
Distance to the lowest polymorph of the same formula (meV/atom): 251
SG: F-43m, No. 216

Cell lengths 4.581, 4.581, 4.581 Å; angles 60.00, 60.00, 60.00 degrees
Sites, in units of the cell vectors:
Na 0.000 0.000 0.000
Ga 0.500 0.500 0.500
Co 0.250 0.250 0.250
As 0.750 0.750 0.750


# 4
This record from OQMD via LeMat-Bulk describes a geometry-optimized NaGaCoAs structure. The functional is GGA-PBE.

Final energy (eV for the cell shown): -14.68
Magnetic moment (μB/f.u.): 1.68
Distance to the lowest polymorph of the same formula (meV/atom): 241
SG: F-43m, No. 216

Cell lengths 4.565, 4.565, 4.565 Å; angles 60.00, 60.00, 60.00 degrees
Sites, in units of the cell vectors:
Na 0.000 0.000 0.000
Ga 0.750 0.750 0.750
Co 0.250 0.250 0.250
As 0.500 0.500 0.500